RbFe2AgI8 | PBE | relaxed

Unit cell a=7.402 b=7.402 c=10.547 alpha=90.00 beta=90.00 gamma=120.00
Atoms (fractional coordinates):
Rb: 0.000 0.000 0.000
Fe: 0.333 0.667 0.749
Fe: 0.667 0.333 0.251
Ag: 0.000 0.000 0.500
I: 0.008 0.333 0.673
I: 0.325 0.992 0.673
I: 0.333 0.325 0.327
I: 0.333 0.667 0.991
I: 0.667 0.333 0.009
I: 0.667 0.675 0.673
I: 0.675 0.008 0.327
I: 0.992 0.667 0.327

Properties
Formation energy without anion corrections: -0.404 eV/atom
SG: No. 147
Total moment: 10.03 Bohr magnetons per cell
ρ: 4380 kg/m3
Calculated total energy: -3.166 eV per atom